[1]
First-principles (PBE) data for a relaxed structure of Hf2GeIr, as listed in Alexandria via LeMat-Bulk.

a b c (Å): 5.4142 4.0369 7.4288
angles (deg): 90.00 111.34 90.00
Space group P2_1/m (No. 11)
Inequivalent atoms, fractional coordinates:
Hf  0.1858  0.2500  0.4128 (multiplicity 2)
Hf  0.2630  0.7500  0.0635 (multiplicity 2)
Ge  0.3905  0.7500  0.7073 (multiplicity 2)
Ir  0.1305  0.2500  0.7910 (multiplicity 2)

ΔE_f   -0.81 eV/atom

[2]
First-principles (PBE) data for a relaxed structure of TbSm7Y3, as listed in Alexandria via LeMat-Bulk.

a b c (Å): 7.1012 5.6343 10.0005
angles (deg): 90.00 110.59 90.00
Space group P2/m (No. 10)
Inequivalent atoms, fractional coordinates:
Tb  0.0000  0.0000  0.0000 (multiplicity 1)
Sm  0.0845  0.0000  0.6704 (multiplicity 2)
Sm  0.1793  0.5000  0.8590 (multiplicity 2)
Sm  0.3530  0.5000  0.2065 (multiplicity 2)
Sm  0.5000  0.0000  0.5000 (multiplicity 1)
Y  0.2219  0.5000  0.5007 (multiplicity 2)
Y  0.5000  0.0000  0.0000 (multiplicity 1)

Excess energy over the best structure of this formula in the dataset   0 meV per atom
ΔE_f   0.13 eV/atom

[3]
First-principles (PBE) data for a relaxed structure of Re2HgCl, as listed in Alexandria via LeMat-Bulk.

a b c (Å): 2.7707 3.9988 6.2942
angles (deg): 90.00 90.00 90.00
Space group Pmmm (No. 47)
Inequivalent atoms, fractional coordinates:
Re  0.0000  0.0000  0.1969 (multiplicity 2)
Hg  0.5000  0.5000  0.5000 (multiplicity 1)
Cl  0.5000  0.5000  0.0000 (multiplicity 1)

Excess energy over the best structure of this formula in the dataset   1256 meV per atom
ΔE_f (raw)   1.438 eV/atom

[4]
First-principles (PBE) data for a relaxed structure of Tm3Th2Cd, as listed in Alexandria via LeMat-Bulk.

a b c (Å): 3.5620 3.5620 13.8247
angles (deg): 90.00 90.00 90.00
Space group P4/mmm (No. 123)
Inequivalent atoms, fractional coordinates:
Tm  0.0000  0.0000  0.0000 (multiplicity 1)
Tm  0.0000  0.0000  0.3533 (multiplicity 2)
Th  0.5000  0.5000  0.1794 (multiplicity 2)
Cd  0.5000  0.5000  0.5000 (multiplicity 1)

ΔE_f   -0.10 eV/atom

| no. | VASP energy (eV/atom) |
| --- | --- |
| 1 | -9.157 |
| 2 | -5.058 |
| 3 | -5.323 |
| 4 | -4.965 |